(w)
Entry from Alexandria: crystalline DyMg2Pb5 at its relaxed geometry (GGA-PBE).

Its space group is I4/mcm (140).

Unit cell a=8.692 b=8.692 c=8.692 alpha=122.01 beta=122.01 gamma=86.55
Atoms (fractional coordinates):
1 Dy 0.250 0.250 0.000
2 Dy 0.750 0.750 0.000
3 Mg 0.139 0.639 0.779
4 Mg 0.361 0.139 0.500
5 Mg 0.639 0.861 0.500
6 Mg 0.861 0.361 0.221
7 Pb 0.000 0.000 0.000
8 Pb 0.010 0.810 0.500
9 Pb 0.190 0.690 0.200
10 Pb 0.310 0.510 0.500
11 Pb 0.490 0.990 0.800
12 Pb 0.500 0.500 0.000
13 Pb 0.510 0.010 0.200
14 Pb 0.690 0.490 0.500
15 Pb 0.810 0.310 0.800
16 Pb 0.990 0.190 0.500


(x)
Entry from Alexandria: crystalline DyMg2Pb5 at its relaxed geometry (GGA-PBE).

Its space group is Pbam (55).

Unit cell a=6.548 b=12.414 c=5.566 alpha=90.00 beta=90.00 gamma=90.00
Atoms (fractional coordinates):
1 Dy 0.000 0.000 0.000
2 Dy 0.500 0.500 0.000
3 Mg 0.173 0.390 0.500
4 Mg 0.327 0.890 0.500
5 Mg 0.673 0.110 0.500
6 Mg 0.827 0.610 0.500
7 Pb 0.000 0.500 0.000
8 Pb 0.164 0.129 0.500
9 Pb 0.206 0.758 0.000
10 Pb 0.294 0.258 0.000
11 Pb 0.336 0.629 0.500
12 Pb 0.500 0.000 0.000
13 Pb 0.664 0.371 0.500
14 Pb 0.706 0.742 0.000
15 Pb 0.794 0.242 0.000
16 Pb 0.836 0.871 0.500


Quick one: least stable of them? (w)


(w)
Entry from Alexandria: crystalline DyMg3Pb6 at its relaxed geometry (GGA-PBE).

Its space group is P2_1/c (14).

Unit cell a=4.860 b=9.623 c=12.868 alpha=90.00 beta=105.32 gamma=90.00
Atoms (fractional coordinates):
1 Dy 0.000 0.000 0.000
2 Dy 0.000 0.500 0.500
3 Mg 0.381 0.173 0.838
4 Mg 0.381 0.327 0.338
5 Mg 0.500 0.000 0.500
6 Mg 0.500 0.500 0.000
7 Mg 0.619 0.673 0.662
8 Mg 0.619 0.827 0.162
9 Pb 0.050 0.672 0.061
10 Pb 0.050 0.828 0.561
11 Pb 0.185 0.508 0.758
12 Pb 0.185 0.992 0.258
13 Pb 0.430 0.687 0.380
14 Pb 0.430 0.813 0.880
15 Pb 0.570 0.187 0.120
16 Pb 0.570 0.313 0.620
17 Pb 0.815 0.008 0.742
18 Pb 0.815 0.492 0.242
19 Pb 0.950 0.172 0.439
20 Pb 0.950 0.328 0.939


(x)
Entry from Alexandria: crystalline DyMg3Pb6 at its relaxed geometry (GGA-PBE).

Its space group is P2_1/m (11).

Unit cell a=10.213 b=4.829 c=11.275 alpha=90.00 beta=95.53 gamma=90.00
Atoms (fractional coordinates):
1 Dy 0.061 0.250 0.388
2 Dy 0.939 0.750 0.612
3 Mg 0.249 0.250 0.004
4 Mg 0.344 0.750 0.803
5 Mg 0.444 0.250 0.599
6 Mg 0.556 0.750 0.401
7 Mg 0.656 0.250 0.197
8 Mg 0.751 0.750 0.996
9 Pb 0.062 0.750 0.905
10 Pb 0.158 0.750 0.199
11 Pb 0.161 0.250 0.698
12 Pb 0.261 0.750 0.506
13 Pb 0.374 0.250 0.303
14 Pb 0.456 0.750 0.095
15 Pb 0.544 0.250 0.905
16 Pb 0.626 0.750 0.697
17 Pb 0.739 0.250 0.494
18 Pb 0.839 0.750 0.302
19 Pb 0.842 0.250 0.801
20 Pb 0.938 0.250 0.095


Quick one: least stable of them? (w)


(w)
Entry from Alexandria: crystalline DyMgSnPb at its relaxed geometry (GGA-PBE).

Its space group is Pmmm (47).

Unit cell a=4.435 b=4.792 c=4.832 alpha=90.00 beta=90.00 gamma=90.00
Atoms (fractional coordinates):
1 Dy 0.000 0.000 0.000
2 Mg 0.000 0.500 0.500
3 Sn 0.500 0.500 0.000
4 Pb 0.500 0.000 0.500


(x)
Entry from Alexandria: crystalline DyMgSnPb at its relaxed geometry (GGA-PBE).

Its space group is F-43m (216).

Unit cell a=5.320 b=5.320 c=5.320 alpha=60.00 beta=60.00 gamma=60.00
Atoms (fractional coordinates):
1 Dy 0.000 0.000 0.000
2 Mg 0.500 0.500 0.500
3 Sn 0.750 0.750 0.750
4 Pb 0.250 0.250 0.250


Quick one: least stable of them? (x)


(w)
Entry from Alexandria: crystalline Dy3Mg2Pd3 at its relaxed geometry (GGA-PBE).

Its space group is Immm (71).

Unit cell a=10.675 b=10.675 c=10.675 alpha=161.47 beta=152.93 gamma=33.01
Atoms (fractional coordinates):
1 Dy 0.000 0.000 0.000
2 Dy 0.380 0.880 0.500
3 Dy 0.620 0.120 0.500
4 Mg 0.230 0.230 0.000
5 Mg 0.770 0.770 0.000
6 Pd 0.121 0.621 0.500
7 Pd 0.500 0.500 0.000
8 Pd 0.879 0.379 0.500


(x)
Entry from Alexandria: crystalline Dy3Mg2Pd3 at its relaxed geometry (GGA-PBE).

Its space group is P6_3/mcm (193).

Unit cell a=8.353 b=8.353 c=5.776 alpha=90.00 beta=90.00 gamma=120.00
Atoms (fractional coordinates):
1 Dy 0.000 0.261 0.250
2 Dy 0.000 0.739 0.750
3 Dy 0.261 0.000 0.250
4 Dy 0.261 0.261 0.750
5 Dy 0.739 0.000 0.750
6 Dy 0.739 0.739 0.250
7 Mg 0.333 0.667 0.000
8 Mg 0.333 0.667 0.500
9 Mg 0.667 0.333 0.000
10 Mg 0.667 0.333 0.500
11 Pd 0.000 0.396 0.750
12 Pd 0.000 0.604 0.250
13 Pd 0.396 0.000 0.750
14 Pd 0.396 0.396 0.250
15 Pd 0.604 0.000 0.250
16 Pd 0.604 0.604 0.750


Quick one: least stable of them? (w)